# 1
Zn2Cu5 (PBE, relaxed); calculated volume = 91.1 Å³/f.u.; total magnetization = 0.00 μB per formula unit; energy of formation from the pure elements = -0.0158 eV per atom; offset from the most stable computed form = 1.17 kcal/mol of atoms
1.0
4.718 0.000 -2.003
-1.120 5.539 -2.637
0.179 -0.151 6.981
Zn Cu
4 10
direct
0.389 0.687 0.778
0.611 0.313 0.222
0.889 0.091 0.778
0.111 0.909 0.222
0.115 0.324 0.231
0.885 0.676 0.769
0.615 0.906 0.231
0.385 0.094 0.769
0.478 0.728 0.455
0.022 0.272 0.545
0.522 0.272 0.545
0.978 0.728 0.455
0.750 0.500 0.000
0.250 0.500 0.000

---

# 2
Zn4Cu3 (PBE, relaxed); calculated volume = 95.6 Å³/f.u.; total magnetization = 0.00 μB per formula unit; energy of formation from the pure elements = -0.0083 eV per atom; offset from the most stable computed form = 0.99 kcal/mol of atoms
1.0
-1.185 -0.564 -2.252
5.689 -1.687 -2.572
-3.260 -4.146 4.263
Zn Cu
4 3
direct
0.085 0.456 0.169
0.915 0.544 0.831
0.366 0.119 0.731
0.634 0.881 0.269
0.000 0.000 0.000
0.222 0.293 0.443
0.778 0.707 0.557